Mn3GeAs PBE-GGA relaxed; total energy = -6.793 eV/atom; space group = Pm-3m; formation energy from the elements = 0.563 eV per atom
1.0
4.602 0.000 0.000
0.000 4.602 0.000
0.000 0.000 4.602
Mn Ge As
3 1 1
direct
0.000 0.000 0.500
0.000 0.500 0.000
0.500 0.000 0.000
0.500 0.500 0.500
0.000 0.000 0.000